Here is an optimized crystal structure of Li3TeN from Alexandria via LeMat-Bulk. Energies are from PBE.

a = 4.142 Å, b = 4.142 Å, c = 4.142 Å
α = 90.00°, β = 90.00°, γ = 90.00°
Space group Pm-3m (No. 221)
One atom of each set of equivalent atoms:
Li: 0.000 0.000 0.500 x3
Te: 0.500 0.500 0.500 x1
N: 0.000 0.000 0.000 x1

total magnetic moment	0.0	μB per cell
formation energy without anion corrections	-27.4	kJ/mol of atoms
excess energy over the best structure of this formula in the dataset	0	meV per atom